A plane-wave DFT calculation with PBE was carried out for a relaxed CaH4NCl3 crystal.

The structure in POSCAR format:
```
CaH4NCl3
1.0
4.1110 0.0000 0.0000
0.0000 10.2876 0.0000
-1.8462 0.0000 7.0779
Ca H N Cl
2 8 2 6
direct
0.0388 0.0000 0.4930
0.9612 0.5000 0.5070
0.0354 0.8055 0.9079
0.1584 0.7268 0.1186
0.3558 0.6962 0.9427
0.4021 0.8407 0.0605
0.5979 0.3407 0.9395
0.6442 0.1962 0.0573
0.8416 0.2268 0.8814
0.9646 0.3055 0.0921
0.2389 0.7659 0.0064
0.7611 0.2659 0.9936
0.0661 0.2478 0.6325
0.3485 0.4459 0.2572
0.4263 0.0522 0.2364
0.5737 0.5522 0.7636
0.6515 0.9459 0.7428
0.9339 0.7478 0.3674
```

Summary:
Crystal system ... monoclinic
Offset from the most stable computed form ... 0.004 eV/atom
Space-group type ... P2_1

A plane-wave DFT calculation with PBE was carried out for a relaxed CaH4NCl3 crystal.

The structure in POSCAR format:
```
CaH4NCl3
1.0
9.4259 0.0000 0.0000
0.0000 4.2170 0.0000
0.0000 0.0000 15.3138
Ca H N Cl
4 16 4 12
direct
0.1666 0.2500 0.0607
0.3334 0.7500 0.5607
0.6666 0.2500 0.4393
0.8334 0.7500 0.9393
0.0118 0.7500 0.3802
0.0443 0.2500 0.7238
0.1065 0.5531 0.3003
0.1065 0.9469 0.3003
0.3935 0.0531 0.8003
0.3935 0.4469 0.8003
0.4557 0.7500 0.2238
0.4882 0.2500 0.8802
0.5118 0.7500 0.1198
0.5443 0.2500 0.7762
0.6065 0.5531 0.1997
0.6065 0.9469 0.1997
0.8935 0.0531 0.6997
0.8935 0.4469 0.6997
0.9557 0.7500 0.2762
0.9882 0.2500 0.6198
0.0444 0.7500 0.3156
0.4556 0.2500 0.8156
0.5444 0.7500 0.1844
0.9556 0.2500 0.6844
0.0216 0.2500 0.9028
0.1651 0.2500 0.5086
0.2426 0.7500 0.7279
0.2574 0.2500 0.2279
0.3349 0.7500 0.0086
0.4784 0.7500 0.4028
0.5216 0.2500 0.5972
0.6651 0.2500 0.9914
0.7426 0.7500 0.7721
0.7574 0.2500 0.2721
0.8349 0.7500 0.4914
0.9784 0.7500 0.0972
```

Summary:
Crystal system ... orthorhombic
Offset from the most stable computed form ... 0.006 eV/atom
Space-group type ... Pnma

A plane-wave DFT calculation with PBE was carried out for a relaxed CaH4NCl3 crystal.

The structure in POSCAR format:
```
CaH4NCl3
1.0
7.3655 0.0000 0.0000
0.0000 5.4950 0.0000
-0.0020 0.0000 7.5268
Ca H N Cl
2 8 2 6
direct
0.0000 0.0000 0.0000
0.4997 0.0000 0.4949
0.0202 0.5000 0.6633
0.0459 0.3442 0.4703
0.0459 0.6558 0.4703
0.3532 0.5000 0.9806
0.5215 0.5000 0.8315
0.5470 0.3441 0.0245
0.5470 0.6559 0.0245
0.8521 0.5000 0.5140
0.4934 0.5000 0.9664
0.9923 0.5000 0.5284
0.0305 0.5000 0.9870
0.1651 0.0000 0.3286
0.3066 0.0000 0.8002
0.5303 0.5000 0.5077
0.6655 0.0000 0.1666
0.8062 0.0000 0.6950
```

Summary:
Crystal system ... monoclinic
Offset from the most stable computed form ... 0.000 eV/atom
Space-group type ... Pm

A plane-wave DFT calculation with PBE was carried out for a relaxed CaHClO crystal.

The structure in POSCAR format:
```
CaHClO
1.0
3.8754 0.0000 0.0000
-1.9377 3.3562 0.0000
0.0000 0.0000 10.1222
Ca H Cl O
2 2 2 2
direct
0.3333 0.6667 0.0000
0.6667 0.3333 0.5000
0.0000 0.0000 0.1654
0.0000 0.0000 0.6654
0.3333 0.6667 0.3210
0.6667 0.3333 0.8210
0.0000 0.0000 0.0688
0.0000 0.0000 0.5688
```

Summary:
Crystal system ... hexagonal
Offset from the most stable computed form ... 0.000 eV/atom
Space-group type ... P6_3mc

A plane-wave DFT calculation with PBE was carried out for a relaxed CaH8Cl2O4 crystal.

The structure in POSCAR format:
```
CaH8Cl2O4
1.0
6.5258 0.0000 0.0000
-2.4363 6.0647 0.0000
-1.5901 -1.1442 8.5770
Ca H Cl O
2 16 4 8
direct
0.0216 0.3861 0.2263
0.9784 0.6139 0.7737
0.2108 0.8319 0.4210
0.2359 0.0354 0.6623
0.2511 0.2992 0.9762
0.2521 0.1126 0.0835
0.2743 0.3943 0.6873
0.3643 0.7072 0.4840
0.4037 0.0410 0.8165
0.4360 0.5736 0.8296
0.5640 0.4264 0.1704
0.5963 0.9590 0.1835
0.6357 0.2928 0.5160
0.7257 0.6057 0.3127
0.7479 0.8874 0.9165
0.7489 0.7008 0.0238
0.7641 0.9646 0.3377
0.7892 0.1681 0.5790
0.2390 0.7722 0.0842
0.2712 0.2120 0.4596
0.7288 0.7880 0.5404
0.7610 0.2278 0.9158
0.2049 0.6832 0.4410
0.2436 0.9698 0.7605
0.2737 0.2716 0.0861
0.2749 0.4729 0.7866
0.7251 0.5271 0.2134
0.7263 0.7284 0.9139
0.7564 0.0302 0.2395
0.7951 0.3168 0.5590
```

Summary:
Crystal system ... triclinic
Offset from the most stable computed form ... 0.010 eV/atom
Space-group type ... P-1

A plane-wave DFT calculation with PBE was carried out for a relaxed CaHClO crystal.

The structure in POSCAR format:
```
CaHClO
1.0
6.6226 0.0000 0.0000
0.0000 3.8232 0.0000
-0.0107 0.0000 5.3764
Ca H Cl O
2 2 2 2
direct
0.0000 0.0000 0.0000
0.5000 0.5000 0.0000
0.3340 0.0000 0.3345
0.8340 0.5000 0.3345
0.1661 0.5000 0.6725
0.6661 0.0000 0.6725
0.3336 0.0000 0.1526
0.8336 0.5000 0.1526
```

Summary:
Crystal system ... monoclinic
Offset from the most stable computed form ... 0.015 eV/atom
Space-group type ... Cm

A plane-wave DFT calculation with PBE was carried out for a relaxed CaH8Cl2O4 crystal.

The structure in POSCAR format:
```
CaH8Cl2O4
1.0
6.0717 0.0000 0.0000
0.0000 8.0086 0.0000
-3.1304 0.0000 8.3087
Ca H Cl O
2 16 4 8
direct
0.0000 0.0000 0.0000
0.0000 0.5000 0.5000
0.0926 0.0701 0.6894
0.0926 0.4299 0.1894
0.1001 0.0698 0.3564
0.1001 0.4302 0.8564
0.4286 0.7120 0.5198
0.4286 0.7880 0.0198
0.4339 0.6920 0.6960
0.4339 0.8080 0.1960
0.5661 0.1920 0.8040
0.5661 0.3080 0.3040
0.5714 0.2120 0.9802
0.5714 0.2880 0.4802
0.8999 0.5698 0.1436
0.8999 0.9302 0.6436
0.9074 0.5701 0.8106
0.9074 0.9299 0.3106
0.2904 0.2206 0.5696
0.2904 0.2794 0.0696
0.7096 0.7206 0.9304
0.7096 0.7794 0.4304
0.0040 0.5008 0.7659
0.0040 0.9992 0.2659
0.3314 0.6760 0.5826
0.3314 0.8240 0.0826
0.6686 0.1760 0.9174
0.6686 0.3240 0.4174
0.9960 0.0008 0.7341
0.9960 0.4992 0.2341
```

Summary:
Crystal system ... monoclinic
Offset from the most stable computed form ... 0.000 eV/atom
Space-group type ... P2_1/c

A plane-wave DFT calculation with PBE was carried out for a relaxed CaHClO crystal.

The structure in POSCAR format:
```
CaHClO
1.0
4.0677 0.0000 0.0000
-2.0338 3.5227 0.0000
0.0000 0.0000 9.6881
Ca H Cl O
2 2 2 2
direct
0.3333 0.6667 0.0000
0.6667 0.3333 0.5000
0.0000 0.0000 0.3992
0.0000 0.0000 0.8992
0.3333 0.6667 0.2833
0.6667 0.3333 0.7833
0.0000 0.0000 0.0008
0.0000 0.0000 0.5008
```

Summary:
Crystal system ... hexagonal
Offset from the most stable computed form ... 0.105 eV/atom
Space-group type ... P6_3mc

A plane-wave DFT calculation with PBE was carried out for a relaxed CaH2ClO crystal.

The structure in POSCAR format:
```
CaH2ClO
1.0
1.7855 -5.9031 0.0000
1.7855 5.9031 0.0000
0.0000 0.0000 6.1914
Ca H Cl O
2 4 2 2
direct
0.0948 0.9052 0.7500
0.9052 0.0948 0.2500
0.4374 0.5626 0.6684
0.4374 0.5626 0.8316
0.5626 0.4374 0.1684
0.5626 0.4374 0.3316
0.2344 0.7656 0.2500
0.7656 0.2344 0.7500
0.5000 0.5000 0.0000
0.5000 0.5000 0.5000
```

Summary:
Crystal system ... orthorhombic
Space-group type ... Cmcm

A plane-wave DFT calculation with PBE was carried out for a relaxed CaP2HCl crystal.

The structure in POSCAR format:
```
CaP2HCl
1.0
3.7807 0.0000 0.0000
0.0000 3.7807 0.0000
0.0000 0.0000 5.9089
Ca P H Cl
1 2 1 1
direct
0.0000 0.0000 0.0000
0.0000 0.5000 0.5000
0.5000 0.0000 0.5000
0.5000 0.5000 0.5000
0.5000 0.5000 0.0000
```

Summary:
Crystal system ... tetragonal
Offset from the most stable computed form ... 0.000 eV/atom
Space-group type ... P4/mmm

A plane-wave DFT calculation with PBE was carried out for a relaxed CaPHCl2 crystal.

The structure in POSCAR format:
```
CaPHCl2
1.0
4.9786 0.0000 0.0000
0.0000 4.9786 0.0000
0.0000 0.0000 3.5442
Ca P H Cl
1 1 1 2
direct
0.0000 0.0000 0.0000
0.5000 0.5000 0.0000
0.5000 0.5000 0.5000
0.0000 0.5000 0.5000
0.5000 0.0000 0.5000
```

Summary:
Crystal system ... tetragonal
Offset from the most stable computed form ... 0.000 eV/atom
Space-group type ... P4/mmm

A plane-wave DFT calculation with PBE was carried out for a relaxed CaP2HCl crystal.

The structure in POSCAR format:
```
CaP2HCl
1.0
5.6444 0.0000 0.0000
0.0000 5.6444 0.0000
0.0000 0.0000 5.3472
Ca P H Cl
1 2 1 1
direct
0.0000 0.0000 0.0000
0.0000 0.5000 0.0000
0.5000 0.0000 0.0000
0.5000 0.5000 0.5000
0.0000 0.0000 0.5000
```

Summary:
Crystal system ... tetragonal
Offset from the most stable computed form ... 1.178 eV/atom
Space-group type ... P4/mmm

A plane-wave DFT calculation with PBE was carried out for a relaxed CaPHCl2 crystal.

The structure in POSCAR format:
```
CaPHCl2
1.0
5.3153 0.0000 0.0000
0.0000 5.3153 0.0000
0.0000 0.0000 6.6641
Ca P H Cl
1 1 1 2
direct
0.0000 0.0000 0.0000
0.0000 0.0000 0.5000
0.5000 0.5000 0.5000
0.0000 0.5000 0.0000
0.5000 0.0000 0.0000
```

Summary:
Crystal system ... tetragonal
Offset from the most stable computed form ... 0.340 eV/atom
Space-group type ... P4/mmm

A plane-wave DFT calculation with PBE was carried out for a relaxed Ca2HPtCl crystal.

The structure in POSCAR format:
```
Ca2HPtCl
1.0
4.8550 0.0000 0.0000
0.0000 4.8550 0.0000
0.0000 0.0000 4.1665
Ca H Pt Cl
2 1 1 1
direct
0.0000 0.5000 0.0000
0.5000 0.0000 0.0000
0.0000 0.0000 0.0000
0.5000 0.5000 0.5000
0.0000 0.0000 0.5000
```

Summary:
Crystal system ... tetragonal
Space-group type ... P4/mmm

A plane-wave DFT calculation with PBE was carried out for a relaxed RbCaH2Cl crystal.

The structure in POSCAR format:
```
RbCaH2Cl
1.0
4.5953 0.0000 0.0000
0.0000 4.5953 0.0000
0.0000 0.0000 5.5014
Rb Ca H Cl
1 1 2 1
direct
0.0000 0.0000 0.0000
0.5000 0.5000 0.5000
0.0000 0.5000 0.5000
0.5000 0.0000 0.5000
0.5000 0.5000 0.0000
```

Summary:
Crystal system ... tetragonal
Offset from the most stable computed form ... 0.000 eV/atom
Space-group type ... P4/mmm

A plane-wave DFT calculation with PBE was carried out for a relaxed Rb2CaH2Cl2 crystal.

The structure in POSCAR format:
```
Rb2CaH2Cl2
1.0
4.6564 0.0000 0.0000
0.0000 4.6564 0.0000
0.0000 0.0000 16.9239
Rb Ca H Cl
4 2 4 4
direct
0.0000 0.0000 0.1377
0.0000 0.0000 0.8623
0.5000 0.5000 0.3623
0.5000 0.5000 0.6377
0.0000 0.0000 0.5000
0.5000 0.5000 0.0000
0.0000 0.5000 0.0000
0.0000 0.5000 0.5000
0.5000 0.0000 0.0000
0.5000 0.0000 0.5000
0.0000 0.0000 0.3378
0.0000 0.0000 0.6622
0.5000 0.5000 0.1622
0.5000 0.5000 0.8378
```

Summary:
Crystal system ... tetragonal
Space-group type ... I4/mmm

A plane-wave DFT calculation with PBE was carried out for a relaxed RbCaH2Cl crystal.

The structure in POSCAR format:
```
RbCaH2Cl
1.0
4.5917 0.0000 0.0000
0.0000 4.5917 0.0000
0.0000 0.0000 8.0908
Rb Ca H Cl
1 1 2 1
direct
0.0000 0.0000 0.0000
0.0000 0.0000 0.5000
0.0000 0.5000 0.0000
0.5000 0.0000 0.0000
0.5000 0.5000 0.5000
```

Summary:
Crystal system ... tetragonal
Offset from the most stable computed form ... 1.140 eV/atom
Space-group type ... P4/mmm

A plane-wave DFT calculation with PBE was carried out for a relaxed CaHSCl2 crystal.

The structure in POSCAR format:
```
CaHSCl2
1.0
5.3676 0.0000 0.0000
0.0000 5.3676 0.0000
0.0000 0.0000 5.8114
Ca H S Cl
1 1 1 2
direct
0.0000 0.0000 0.0000
0.5000 0.5000 0.5000
0.0000 0.0000 0.5000
0.0000 0.5000 0.0000
0.5000 0.0000 0.0000
```

Summary:
Crystal system ... tetragonal
Offset from the most stable computed form ... 0.318 eV/atom
Space-group type ... P4/mmm

A plane-wave DFT calculation with PBE was carried out for a relaxed CaHSCl2 crystal.

The structure in POSCAR format:
```
CaHSCl2
1.0
5.0408 0.0000 0.0000
0.0000 5.0408 0.0000
0.0000 0.0000 3.5526
Ca H S Cl
1 1 1 2
direct
0.0000 0.0000 0.0000
0.5000 0.5000 0.5000
0.5000 0.5000 0.0000
0.0000 0.5000 0.5000
0.5000 0.0000 0.5000
```

Summary:
Crystal system ... tetragonal
Offset from the most stable computed form ... 0.000 eV/atom
Space-group type ... P4/mmm

A plane-wave DFT calculation with PBE was carried out for a relaxed CaHS2Cl crystal.

The structure in POSCAR format:
```
CaHS2Cl
1.0
5.6373 0.0000 0.0000
0.0000 5.6373 0.0000
0.0000 0.0000 5.3443
Ca H S Cl
1 1 2 1
direct
0.0000 0.0000 0.0000
0.5000 0.5000 0.5000
0.0000 0.5000 0.0000
0.5000 0.0000 0.0000
0.0000 0.0000 0.5000
```

Summary:
Crystal system ... tetragonal
Offset from the most stable computed form ... 0.754 eV/atom
Space-group type ... P4/mmm

no.,raw total energy (eV/f.u.),density (g/cm³)
1,-40.3,1.8
2,-40.3,1.8
3,-40.4,1.8
4,-20.7,2.3
5,-72.2,1.8
6,-20.7,2.3
7,-72.4,1.5
8,-20.3,2.2
9,-21.3,2.4
10,-19.8,2.7
11,-16.7,2.7
12,-13.9,1.3
13,-15.0,1.3
14,-18.0,5.3
15,-16.5,2.3
16,-23.4,2.6
17,-10.8,1.6
18,-14.8,1.4
19,-16.4,2.6
20,-14.7,1.4